A geometry-optimized PmNdEr2 structure, computed with PBE.

Geometry as extended XYZ:
```
4
Lattice="-5.0208 2.5134 1.0379 -3.8041 -2.5281 3.4264 -1.0863 2.1837 5.1627" Properties=species:S:1:pos:R:3 pbc="T T T"
Er -7.4334 1.6268 7.2203
Er -2.4778 0.5423 2.4068
Pm -4.9556 1.0845 4.8135
Nd 0.0000 0.0000 0.0000
```

Calculated values
The calculation puts the formation enthalpy at 0 K at 10.36 kJ per mole of atoms. Its polymorph energy (0 for the lowest one) is 0.0926 eV per atom. As for the symmetry: Fm-3m.



A geometry-optimized SrRu2Pt structure, computed with PBE.

Geometry as extended XYZ:
```
4
Lattice="-1.4945 2.2855 -0.4710 -2.0112 -0.5693 3.6193 4.5173 3.5874 3.0745" Properties=species:S:1:pos:R:3 pbc="T T T"
Ru 4.2224 3.3532 2.8737
Ru 2.5536 2.0280 1.7380
Sr -0.6235 1.7549 2.3428
Pt 1.6352 3.5487 3.8800
```

Calculated values
The calculation puts the formation enthalpy at 0 K at 42.14 kJ per mole of atoms. Its polymorph energy (0 for the lowest one) is 0.3634 eV per atom. As for the symmetry: Pmmm.



A geometry-optimized Er3Cu3Sn4 structure, computed with PBE.

Geometry as extended XYZ:
```
20
Lattice="7.8169 0.0000 -2.7637 -3.9084 6.7696 -2.7637 0.0000 0.0000 8.2911" Properties=species:S:1:pos:R:3 pbc="T T T"
Er -1.4657 5.9234 -2.0728
Er 2.4428 0.8462 4.8364
Er 1.9542 5.0772 3.4546
Er 5.8627 1.6924 2.0728
Er 3.4199 4.2310 -0.6909
Er -0.4886 2.5386 0.6909
Sn -1.3503 4.4308 3.1907
Sn 0.6039 5.7236 0.4270
Sn 4.6548 3.3848 -3.7185
Sn 0.0000 0.0000 7.0100
Sn 2.5581 2.3388 1.8089
Sn 4.5123 1.0460 -0.9548
Sn 0.0000 0.0000 2.8645
Sn 0.7464 3.3848 -2.3367
Cu 1.9542 1.6924 -0.6909
Cu 5.3741 0.8462 4.8364
Cu 4.3970 4.2310 2.0728
Cu 1.4657 5.9234 -2.0728
Cu 0.4886 2.5386 3.4546
Cu -1.9542 5.0772 0.6909
```

Calculated values
The calculation puts the formation enthalpy at 0 K at -45.83 kJ per mole of atoms. As for the symmetry: I-43d.



A geometry-optimized Y3B11 structure, computed with PBE.

Geometry as extended XYZ:
```
14
Lattice="3.1784 0.0000 0.8421 0.5529 6.7175 4.3325 -0.3353 2.2413 7.6853" Properties=species:S:1:pos:R:3 pbc="T T T"
B 2.7911 4.8503 8.7235
B 1.6351 6.9494 6.6674
B 0.3246 2.6961 5.1942
B 0.6049 4.1085 4.1363
B 1.5552 3.7597 6.9690
B 1.7609 2.0094 6.1924
B 1.8408 5.1991 5.8908
B 1.0697 4.1007 8.8013
B 3.0714 6.2627 7.6656
B 0.1088 4.4794 6.0089
B 2.3262 4.8581 4.0586
Y 2.4579 2.1801 3.5616
Y 0.0000 0.0000 0.0000
Y 0.9381 6.7787 9.2982
```

Calculated values
The calculation puts the formation enthalpy at 0 K at -22.18 kJ per mole of atoms. As for the symmetry: Immm.



A geometry-optimized NaMgOs3 structure, computed with PBE.

Geometry as extended XYZ:
```
5
Lattice="-4.2265 0.2132 -1.7928 -1.3016 -3.5225 2.6497 -1.2511 2.9444 3.2997" Properties=species:S:1:pos:R:3 pbc="T T T"
Os -0.6256 1.4722 1.6498
Os -2.1132 0.1066 -0.8964
Os -0.6508 -1.7612 1.3248
Mg 0.0000 0.0000 0.0000
Na -3.3896 -0.1824 2.0783
```

Calculated values
The calculation puts the formation enthalpy at 0 K at 230.68 kJ per mole of atoms. Its polymorph energy (0 for the lowest one) is 0.0000 eV per atom. As for the symmetry: Pm-3m.



A geometry-optimized K2Cu2Pt structure, computed with PBE.

Geometry as extended XYZ:
```
10
Lattice="-4.2943 -4.6711 -1.7422 2.7658 -4.1453 4.2967 -3.3138 1.6553 3.7301" Properties=species:S:1:pos:R:3 pbc="T T T"
Cu 0.4323 -2.1434 1.3352
Cu -1.9607 -6.6729 1.2193
Cu 0.8245 -5.2937 3.0817
Cu -2.3529 -3.5226 -0.5271
K -2.3499 -5.7509 4.1687
K -4.2843 -4.2782 1.7966
K -2.4924 -1.4102 2.1159
K -0.5580 -2.8829 4.4880
Pt -0.7642 -4.4082 1.2773
Pt 0.0000 0.0000 0.0000
```

Calculated values
The calculation puts the formation enthalpy at 0 K at 16.85 kJ per mole of atoms. As for the symmetry: P4/mbm.



A geometry-optimized Dy3ScSn2 structure, computed with PBE.

Geometry as extended XYZ:
```
6
Lattice="4.4715 0.0000 0.0000 0.0000 4.4715 0.0000 0.0000 0.0000 8.3267" Properties=species:S:1:pos:R:3 pbc="T T T"
Sn 2.2357 0.0000 6.0511
Sn 0.0000 2.2357 2.2756
Dy 2.2357 0.0000 2.8767
Dy 0.0000 2.2357 5.4500
Dy 0.0000 0.0000 0.0000
Sc 2.2357 2.2357 0.0000
```

Calculated values
The calculation puts the formation enthalpy at 0 K at -57.10 kJ per mole of atoms. As for the symmetry: P-4m2.



A geometry-optimized Li6ZnCd2 structure, computed with PBE.

Geometry as extended XYZ:
```
9
Lattice="-2.5172 0.6834 -1.1409 -3.6623 -3.9258 5.7287 3.9462 7.1325 2.0304" Properties=species:S:1:pos:R:3 pbc="T T T"
Zn 0.0000 0.0000 0.0000
Li -2.4563 -0.9422 1.3031
Li -2.0192 1.6243 1.5888
Li 2.2458 4.9025 1.1817
Li -3.7231 -2.3002 3.2847
Li -0.2140 2.2657 5.0294
Li -4.4790 -1.0125 5.4365
Cd -0.2665 3.9019 2.5035
Cd -1.9667 -0.0119 4.1147
```

Calculated values
The calculation puts the formation enthalpy at 0 K at -15.20 kJ per mole of atoms. Its polymorph energy (0 for the lowest one) is 0.0138 eV per atom. As for the symmetry: C2/m.



A geometry-optimized Zr6Ni2Pd structure, computed with PBE.

Geometry as extended XYZ:
```
18
Lattice="-5.5699 4.6894 -2.7143 0.1463 -6.9580 -3.4564 -0.7546 -2.2842 7.3888" Properties=species:S:1:pos:R:3 pbc="T T T"
Zr -4.0896 -2.2468 -1.4654
Zr -2.0886 -2.3060 2.6835
Zr -2.2988 -5.4991 4.0421
Zr -4.9892 -1.9544 1.4897
Zr -5.4921 1.2534 2.0963
Zr -2.9241 0.2768 0.1983
Zr -3.8794 0.9463 -2.8240
Zr -1.5128 -7.5194 1.8222
Zr -3.2540 -4.8296 1.0198
Zr -0.6860 -5.8062 -0.8782
Zr -1.1889 -2.5984 -0.2716
Zr -4.6654 2.9666 -0.6041
Pd 0.0000 0.0000 0.0000
Pd -0.3041 -4.6211 1.9662
Ni -3.2374 0.0607 2.8231
Ni -1.8872 -0.7894 -2.1471
Ni -2.9408 -4.6135 -1.6050
Ni -3.5364 -1.4792 -4.0235
```

Calculated values
The calculation puts the formation enthalpy at 0 K at -29.98 kJ per mole of atoms. As for the symmetry: Immm.



A geometry-optimized Pm4AgHg5 structure, computed with PBE.

Geometry as extended XYZ:
```
10
Lattice="-2.3631 -0.3806 -4.6556 -1.5482 -6.1346 1.2874 -5.0709 4.4888 5.1499" Properties=species:S:1:pos:R:3 pbc="T T T"
Hg -5.1663 -3.4810 -0.0361
Hg -1.9556 -3.2576 -1.6841
Hg -7.1844 -0.7236 0.7628
Hg -1.7978 -1.3028 1.0190
Hg -3.8159 1.4546 1.8179
Ag -1.1815 -0.1903 -2.3278
Pm -4.0176 -0.5527 -0.8586
Pm -4.9645 -1.4737 2.6404
Pm -2.4720 -4.3210 1.6080
Pm -6.5102 2.2946 0.1737
```

Calculated values
The calculation puts the formation enthalpy at 0 K at -39.36 kJ per mole of atoms. Its polymorph energy (0 for the lowest one) is 0.0000 eV per atom. As for the symmetry: C2/m.



A geometry-optimized Sr2AlSe structure, computed with PBE.

Geometry as extended XYZ:
```
4
Lattice="9.0112 -0.0061 0.0028 7.2374 5.3687 -0.0028 -8.0931 -2.7759 2.8282" Properties=species:S:1:pos:R:3 pbc="T T T"
Se 5.2457 0.1888 1.4155
Al 8.9511 2.9542 0.0000
Sr 3.0898 2.4574 1.4127
Sr 15.2417 5.0303 0.0000
```

Calculated values
The value obtained for the formation energy from raw total energies is -0.78 eV per atom. Its polymorph energy (0 for the lowest one) is 0.0922 eV per atom. As for the symmetry: Imm2.



A geometry-optimized BaBePt structure, computed with PBE.

Geometry as extended XYZ:
```
12
Lattice="-4.8299 -4.0292 -1.5318 1.7609 -0.7930 -3.4663 8.8477 -5.8706 5.8377" Properties=species:S:1:pos:R:3 pbc="T T T"
Pt 2.0489 -3.1102 1.7524
Pt -1.5745 -4.2507 -2.0985
Pt 1.9689 -6.7895 2.5535
Pt 7.3532 -6.4420 2.9381
Be -2.4474 -4.9316 -0.1151
Be 2.9218 -2.4294 -0.2310
Be 2.8569 -8.2633 1.0707
Be 6.4653 -4.9682 4.4210
Ba 4.6796 -5.1272 1.2791
Ba -0.6247 -1.7954 0.0934
Ba 4.6425 -8.1043 4.2125
Ba 1.0991 -5.5655 -0.4395
```

Calculated values
The calculation puts the formation enthalpy at 0 K at -52.16 kJ per mole of atoms. Its polymorph energy (0 for the lowest one) is 0.0197 eV per atom. As for the symmetry: C2/m.



no.,spin magnetization (μB per cell)
1,0.000
2,0.000
3,0.000
4,0.000
5,2.223
6,0.000
7,0.000
8,0.000
9,0.000
10,0.000
11,0.685
12,0.000